Record 1
The following is a DFT calculation (PBE) of a relaxed structure of Sc2IrW.

Output
formation energy from the elements	27.2	kJ/mol of atoms

a = 9.896 Å, b = 9.896 Å, c = 9.896 Å
α = 17.14°, β = 17.14°, γ = 17.14°
Atoms (fractional coordinates):
Sc  0.915  0.915  0.915
Sc  0.085  0.085  0.085
W  0.500  0.500  0.500
Ir  0.000  0.000  0.000

Record 2
The following is a DFT calculation (PBE) of a relaxed structure of ScIr2W.

Output
formation energy from the elements	-47.4	kJ/mol of atoms

a = 4.589 Å, b = 2.882 Å, c = 4.903 Å
α = 83.49°, β = 90.00°, γ = 90.00°
Atoms (fractional coordinates):
W  0.500  0.709  0.819
Ir  0.500  0.084  0.317
Ir  0.000  0.153  0.941
Sc  0.000  0.553  0.423

Record 3
The following is a DFT calculation (PBE) of a relaxed structure of ScIr2W.

Output
formation energy from the elements	-24.9	kJ/mol of atoms

a = 2.883 Å, b = 4.286 Å, c = 5.358 Å
α = 90.00°, β = 90.00°, γ = 90.00°
Atoms (fractional coordinates):
Ir  0.000  0.000  0.951
Ir  0.500  0.500  0.303
W  0.500  0.500  0.788
Sc  0.000  0.000  0.458

Record 4
The following is a DFT calculation (PBE) of a relaxed structure of ScIr2W.

Output
formation energy from the elements	-14.2	kJ/mol of atoms

a = 4.824 Å, b = 4.824 Å, c = 5.018 Å
α = 80.90°, β = 80.90°, γ = 33.97°
Atoms (fractional coordinates):
Ir  0.498  0.498  0.515
Sc  0.250  0.250  0.250
W  0.750  0.750  0.750
Ir  0.002  0.002  0.985

Record 5
The following is a DFT calculation (PBE) of a relaxed structure of ScIrW2.

Output
formation energy from the elements	7.4	kJ/mol of atoms

a = 5.219 Å, b = 5.219 Å, c = 2.793 Å
α = 90.00°, β = 90.00°, γ = 119.29°
Atoms (fractional coordinates):
Sc  0.000  0.500  0.500
W  0.000  0.000  0.000
Ir  0.500  0.000  0.500
W  0.500  0.500  0.000

Record 6
The following is a DFT calculation (PBE) of a relaxed structure of ScIr2W.

Output
formation energy from the elements	-31.1	kJ/mol of atoms

a = 5.042 Å, b = 5.042 Å, c = 5.042 Å
α = 134.64°, β = 134.65°, γ = 66.07°
Atoms (fractional coordinates):
Ir  0.000  0.000  0.000
Ir  0.750  0.250  0.500
W  0.250  0.750  0.500
Sc  0.500  0.500  0.000

Record 7
The following is a DFT calculation (PBE) of a relaxed structure of ScIr2W.

Output
formation energy from the elements	0.4	kJ/mol of atoms

a = 9.256 Å, b = 9.256 Å, c = 9.256 Å
α = 17.88°, β = 17.88°, γ = 17.88°
Atoms (fractional coordinates):
Ir  0.249  0.249  0.249
W  0.745  0.745  0.745
Sc  0.503  0.503  0.503
Ir  0.002  0.002  0.002

Record 8
The following is a DFT calculation (PBE) of a relaxed structure of ScIrW2.

Output
formation energy from the elements	45.2	kJ/mol of atoms

a = 7.589 Å, b = 7.589 Å, c = 5.959 Å
α = 50.45°, β = 50.45°, γ = 90.00°
Atoms (fractional coordinates):
Ir  0.000  0.000  0.000
Sc  0.500  0.500  0.000
W  0.666  0.125  0.250
W  0.375  0.334  0.750
Ir  0.750  0.250  0.500
W  0.875  0.916  0.750
W  0.084  0.625  0.250
Sc  0.250  0.750  0.500

Record 9
The following is a DFT calculation (PBE) of a relaxed structure of Sc2IrW.

Output
formation energy from the elements	21.8	kJ/mol of atoms

a = 9.801 Å, b = 9.801 Å, c = 9.801 Å
α = 17.46°, β = 17.46°, γ = 17.46°
Atoms (fractional coordinates):
Sc  0.093  0.093  0.093
W  0.000  0.000  0.000
Sc  0.907  0.907  0.907
Ir  0.500  0.500  0.500

Record 10
The following is a DFT calculation (PBE) of a relaxed structure of ScIrW3.

Output
formation energy from the elements	237.8	kJ/mol of atoms

a = 4.508 Å, b = 4.508 Å, c = 4.508 Å
α = 90.00°, β = 90.00°, γ = 90.00°
Atoms (fractional coordinates):
Ir  0.500  0.500  0.500
Sc  0.000  0.000  0.000
W  0.000  0.500  0.000
W  0.500  0.000  0.000
W  0.000  0.000  0.500

Record 11
The following is a DFT calculation (PBE) of a relaxed structure of Sc4IrW.

Output
formation energy from the elements	51.7	kJ/mol of atoms

a = 5.424 Å, b = 5.424 Å, c = 5.424 Å
α = 60.00°, β = 60.00°, γ = 60.00°
Atoms (fractional coordinates):
W  0.750  0.750  0.750
Sc  0.375  0.875  0.375
Ir  0.000  0.000  0.000
Sc  0.875  0.375  0.375
Sc  0.375  0.375  0.375
Sc  0.375  0.375  0.875

Record 12
The following is a DFT calculation (PBE) of a relaxed structure of Sc2IrW.

Output
formation energy from the elements	-14.1	kJ/mol of atoms

a = 4.532 Å, b = 2.936 Å, c = 5.478 Å
α = 76.68°, β = 90.00°, γ = 90.00°
Atoms (fractional coordinates):
Ir  0.500  0.724  0.743
Sc  0.500  0.243  0.264
Sc  0.000  0.989  0.983
W  0.000  0.544  0.511

Record 13
The following is a DFT calculation (PBE) of a relaxed structure of Sc2Ir2W.

Output
formation energy from the elements	-48.0	kJ/mol of atoms

a = 6.575 Å, b = 6.575 Å, c = 4.302 Å
α = 90.00°, β = 90.00°, γ = 90.00°
Atoms (fractional coordinates):
Sc  0.824  0.324  0.500
Sc  0.324  0.176  0.500
W  0.500  0.500  0.000
Sc  0.176  0.676  0.500
Ir  0.139  0.361  0.000
Ir  0.361  0.861  0.000
Sc  0.676  0.824  0.500
Ir  0.861  0.639  0.000
Ir  0.639  0.139  0.000
W  0.000  0.000  0.000

Record 14
The following is a DFT calculation (PBE) of a relaxed structure of Sc3IrW.

Output
formation energy from the elements	53.4	kJ/mol of atoms

a = 4.903 Å, b = 4.903 Å, c = 4.903 Å
α = 90.00°, β = 90.00°, γ = 90.00°
Atoms (fractional coordinates):
Sc  0.000  0.000  0.500
Ir  0.000  0.000  0.000
Sc  0.000  0.500  0.000
W  0.500  0.500  0.500
Sc  0.500  0.000  0.000

Record 15
The following is a DFT calculation (PBE) of a relaxed structure of ScIr4W.

Output
formation energy from the elements	-11.8	kJ/mol of atoms

a = 5.170 Å, b = 5.170 Å, c = 5.170 Å
α = 60.00°, β = 60.00°, γ = 60.00°
Atoms (fractional coordinates):
Sc  0.250  0.250  0.250
Ir  0.625  0.126  0.625
Ir  0.126  0.625  0.625
W  0.000  0.000  0.000
Ir  0.625  0.625  0.625
Ir  0.625  0.625  0.126

Record 16
The following is a DFT calculation (PBE) of a relaxed structure of ScIrW.

Output
formation energy from the elements	-23.9	kJ/mol of atoms

a = 6.288 Å, b = 6.288 Å, c = 6.288 Å
α = 152.94°, β = 152.94°, γ = 38.64°
Atoms (fractional coordinates):
Sc  0.340  0.340  0.000
W  0.651  0.651  0.000
Ir  0.009  0.009  0.000

Record 17
The following is a DFT calculation (PBE) of a relaxed structure of Sc2IrW.

Output
formation energy from the elements	-11.4	kJ/mol of atoms

a = 4.444 Å, b = 2.909 Å, c = 5.499 Å
α = 79.15°, β = 90.00°, γ = 90.00°
Atoms (fractional coordinates):
W  0.500  0.250  0.250
Sc  0.000  0.524  0.504
Ir  0.500  0.750  0.750
Sc  0.000  0.976  0.996

Record 18
The following is a DFT calculation (PBE) of a relaxed structure of ScIr2W.

Output
formation energy from the elements	-37.5	kJ/mol of atoms

a = 5.017 Å, b = 5.017 Å, c = 4.766 Å
α = 80.57°, β = 80.57°, γ = 33.14°
Atoms (fractional coordinates):
Ir  0.995  0.995  0.957
Ir  0.261  0.261  0.288
W  0.733  0.733  0.798
Sc  0.511  0.511  0.457

Record 19
The following is a DFT calculation (PBE) of a relaxed structure of ScIr2W.

Output
formation energy from the elements	-32.7	kJ/mol of atoms

a = 4.147 Å, b = 4.147 Å, c = 3.716 Å
α = 90.00°, β = 90.00°, γ = 90.00°
Atoms (fractional coordinates):
W  0.000  0.500  0.500
Sc  0.500  0.000  0.500
Ir  0.000  0.000  0.000
Ir  0.500  0.500  0.000

Record 20
The following is a DFT calculation (PBE) of a relaxed structure of Sc2IrW.

Output
formation energy from the elements	7.7	kJ/mol of atoms

a = 9.793 Å, b = 9.793 Å, c = 9.793 Å
α = 17.49°, β = 17.49°, γ = 17.49°
Atoms (fractional coordinates):
Ir  0.246  0.246  0.246
Sc  0.758  0.758  0.758
Sc  0.990  0.990  0.990
W  0.506  0.506  0.506

Record 21
The following is a DFT calculation (PBE) of a relaxed structure of ScIrW2.

Output
formation energy from the elements	-7.8	kJ/mol of atoms

a = 4.433 Å, b = 2.815 Å, c = 5.355 Å
α = 79.83°, β = 90.00°, γ = 90.00°
Atoms (fractional coordinates):
W  0.500  0.229  0.241
W  0.000  0.027  0.010
Sc  0.500  0.756  0.743
Ir  0.000  0.488  0.506

Record 22
The following is a DFT calculation (PBE) of a relaxed structure of ScIr2W.

Output
formation energy from the elements	-22.6	kJ/mol of atoms

a = 4.512 Å, b = 4.512 Å, c = 4.512 Å
α = 60.00°, β = 60.00°, γ = 60.00°
Atoms (fractional coordinates):
Ir  0.750  0.750  0.750
Sc  0.000  0.000  0.000
Ir  0.250  0.250  0.250
W  0.500  0.500  0.500

Record 23
The following is a DFT calculation (PBE) of a relaxed structure of ScIrW2.

Output
formation energy from the elements	23.8	kJ/mol of atoms

a = 3.220 Å, b = 3.220 Å, c = 6.493 Å
α = 90.00°, β = 90.00°, γ = 90.00°
Atoms (fractional coordinates):
Sc  0.500  0.500  0.750
W  0.000  0.000  0.479
Ir  0.500  0.500  0.250
W  0.000  0.000  0.021

Record 24
The following is a DFT calculation (PBE) of a relaxed structure of Sc2IrW.

Output
formation energy from the elements	-11.4	kJ/mol of atoms

a = 5.281 Å, b = 5.281 Å, c = 2.912 Å
α = 78.94°, β = 78.94°, γ = 113.88°
Atoms (fractional coordinates):
Sc  0.000  0.000  0.000
W  0.500  0.000  0.500
Ir  0.000  0.500  0.500
Sc  0.500  0.500  0.000

Record 25
The following is a DFT calculation (PBE) of a relaxed structure of ScIr2W.

Output
formation energy from the elements	-40.9	kJ/mol of atoms

a = 2.884 Å, b = 3.778 Å, c = 5.900 Å
α = 90.00°, β = 90.00°, γ = 90.00°
Atoms (fractional coordinates):
Ir  0.000  0.000  0.986
Ir  0.000  0.000  0.514
Sc  0.500  0.500  0.250
W  0.500  0.500  0.750

Record 26
The following is a DFT calculation (PBE) of a relaxed structure of ScIrW2.

Output
formation energy from the elements	-7.9	kJ/mol of atoms

a = 2.833 Å, b = 2.833 Å, c = 8.384 Å
α = 90.00°, β = 90.00°, γ = 90.01°
Atoms (fractional coordinates):
W  0.000  0.000  0.012
W  0.500  0.500  0.273
Ir  0.000  0.000  0.485
Sc  0.500  0.500  0.730

Record 27
The following is a DFT calculation (PBE) of a relaxed structure of ScIrW3.

Output
formation energy from the elements	146.0	kJ/mol of atoms

a = 4.781 Å, b = 4.781 Å, c = 4.781 Å
α = 90.00°, β = 90.00°, γ = 90.00°
Atoms (fractional coordinates):
W  0.000  0.000  0.500
W  0.500  0.000  0.000
Ir  0.000  0.000  0.000
Sc  0.500  0.500  0.500
W  0.000  0.500  0.000

Record 28
The following is a DFT calculation (PBE) of a relaxed structure of Sc2IrW.

Output
formation energy from the elements	-10.9	kJ/mol of atoms

a = 4.597 Å, b = 4.597 Å, c = 4.597 Å
α = 60.00°, β = 60.00°, γ = 60.00°
Atoms (fractional coordinates):
Sc  0.250  0.250  0.250
W  0.750  0.750  0.750
Sc  0.000  0.000  0.000
Ir  0.500  0.500  0.500

Record 29
The following is a DFT calculation (PBE) of a relaxed structure of ScIr2W.

Output
formation energy from the elements	6.6	kJ/mol of atoms

a = 7.252 Å, b = 7.252 Å, c = 5.824 Å
α = 51.49°, β = 51.49°, γ = 90.00°
Atoms (fractional coordinates):
Sc  0.500  0.500  0.000
Ir  0.375  0.339  0.750
Sc  0.250  0.750  0.500
W  0.000  0.000  0.000
Ir  0.661  0.125  0.250
Ir  0.089  0.625  0.250
W  0.750  0.250  0.500
Ir  0.875  0.911  0.750

Record 30
The following is a DFT calculation (PBE) of a relaxed structure of ScIrW2.

Output
formation energy from the elements	12.9	kJ/mol of atoms

a = 9.474 Å, b = 9.474 Å, c = 9.474 Å
α = 17.48°, β = 17.48°, γ = 17.48°
Atoms (fractional coordinates):
Sc  0.753  0.753  0.753
W  0.998  0.998  0.998
Ir  0.503  0.503  0.503
W  0.246  0.246  0.246

Number 1: total moment 0.000 μB/cell. Number 2: total moment 0.000 μB/cell. Number 3: total moment 0.000 μB/cell. Number 4: total moment 0.000 μB/cell. Number 5: total moment 0.000 μB/cell. Number 6: total moment 0.000 μB/cell. Number 7: total moment 0.295 μB/cell. Number 8: total moment 0.000 μB/cell. Number 9: total moment 0.000 μB/cell. Number 10: total moment 0.000 μB/cell. Number 11: total moment 0.000 μB/cell. Number 12: total moment 0.000 μB/cell. Number 13: total moment 0.000 μB/cell. Number 14: total moment 0.005 μB/cell. Number 15: total moment 0.000 μB/cell. Number 16: total moment 0.000 μB/cell. Number 17: total moment 0.000 μB/cell. Number 18: total moment 0.000 μB/cell. Number 19: total moment 0.000 μB/cell. Number 20: total moment 0.001 μB/cell. Number 21: total moment 0.000 μB/cell. Number 22: total moment 0.000 μB/cell. Number 23: total moment 0.000 μB/cell. Number 24: total moment 0.000 μB/cell. Number 25: total moment 0.000 μB/cell. Number 26: total moment 0.000 μB/cell. Number 27: total moment 0.000 μB/cell. Number 28: total moment 0.000 μB/cell. Number 29: total moment 0.000 μB/cell. Number 30: total moment 0.000 μB/cell.